Version one
# CuSi2Sn2

An optimized crystal structure of CuSi2Sn2 (GGA-PBE, Alexandria).

Unit cell a=6.346 b=6.346 c=4.939 alpha=90.00 beta=90.00 gamma=90.00
Sites, in units of the cell vectors:
Cu 0.000 0.000 0.000
Cu 0.500 0.500 0.000
Si 0.135 0.365 0.000
Si 0.365 0.865 0.000
Si 0.635 0.135 0.000
Si 0.865 0.635 0.000
Sn 0.194 0.694 0.500
Sn 0.306 0.194 0.500
Sn 0.694 0.806 0.500
Sn 0.806 0.306 0.500

Computed properties:
- crystal system = tetragonal

***

Version two
# CuSi2Sn2

An optimized crystal structure of CuSi2Sn2 (GGA-PBE, Alexandria).

Unit cell a=8.893 b=8.893 c=8.893 alpha=157.81 beta=157.81 gamma=31.59
Sites, in units of the cell vectors:
Cu 0.000 0.000 0.000
Si 0.250 0.750 0.500
Si 0.750 0.250 0.500
Sn 0.402 0.402 0.000
Sn 0.598 0.598 0.000

Computed properties:
- crystal system = tetragonal

***

Which of them is the most stable? Correct choice: version one.

***

Version one
# Cu2SiSn

An optimized crystal structure of Cu2SiSn (GGA-PBE, Alexandria).

Unit cell a=5.524 b=5.524 c=5.524 alpha=42.61 beta=42.61 gamma=42.61
Sites, in units of the cell vectors:
Cu 0.206 0.206 0.206
Cu 0.794 0.794 0.794
Si 0.500 0.500 0.500
Sn 0.000 0.000 0.000

Computed properties:
- crystal system = trigonal

***

Version two
# Cu2SiSn

An optimized crystal structure of Cu2SiSn (GGA-PBE, Alexandria).

Unit cell a=4.528 b=4.528 c=4.528 alpha=60.00 beta=60.00 gamma=60.00
Sites, in units of the cell vectors:
Cu 0.250 0.250 0.250
Cu 0.750 0.750 0.750
Si 0.000 0.000 0.000
Sn 0.500 0.500 0.500

Computed properties:
- crystal system = cubic

***

Which of them is the most stable? Correct choice: version one.

***

Version one
# CuSiSnTe2

An optimized crystal structure of CuSiSnTe2 (GGA-PBE, Alexandria).

Unit cell a=5.783 b=5.783 c=5.059 alpha=90.00 beta=90.00 gamma=90.00
Sites, in units of the cell vectors:
Cu 0.000 0.000 0.000
Si 0.500 0.500 0.000
Sn 0.500 0.500 0.500
Te 0.000 0.500 0.500
Te 0.500 0.000 0.500

Computed properties:
- crystal system = tetragonal

***

Version two
# CuSiSnTe2

An optimized crystal structure of CuSiSnTe2 (GGA-PBE, Alexandria).

Unit cell a=5.795 b=5.795 c=4.741 alpha=90.00 beta=90.00 gamma=90.00
Sites, in units of the cell vectors:
Cu 0.000 0.000 0.000
Si 0.500 0.500 0.000
Sn 0.000 0.000 0.500
Te 0.000 0.500 0.500
Te 0.500 0.000 0.500

Computed properties:
- crystal system = tetragonal

***

Which of them is the most stable? Correct choice: version two.

***

Version one
# Sr2CuSi2

An optimized crystal structure of Sr2CuSi2 (GGA-PBE, Alexandria).

Unit cell a=4.487 b=6.701 c=6.701 alpha=36.25 beta=90.00 gamma=90.00
Sites, in units of the cell vectors:
Sr 0.000 0.000 0.000
Sr 0.000 0.247 0.247
Cu 0.500 0.823 0.823
Si 0.500 0.426 0.426
Si 0.500 0.621 0.621

Computed properties:
- crystal system = orthorhombic

***

Version two
# Sr2CuSi2

An optimized crystal structure of Sr2CuSi2 (GGA-PBE, Alexandria).

Unit cell a=6.982 b=6.982 c=4.883 alpha=90.00 beta=90.00 gamma=90.00
Sites, in units of the cell vectors:
Sr 0.170 0.330 0.000
Sr 0.330 0.830 0.000
Sr 0.670 0.170 0.000
Sr 0.830 0.670 0.000
Cu 0.000 0.000 0.500
Cu 0.500 0.500 0.500
Si 0.131 0.631 0.500
Si 0.369 0.131 0.500
Si 0.631 0.869 0.500
Si 0.869 0.369 0.500

Computed properties:
- crystal system = tetragonal

***

Which of them is the most stable? Correct choice: version one.

***

Version one
# Sr2CuSi2

An optimized crystal structure of Sr2CuSi2 (GGA-PBE, Alexandria).

Unit cell a=8.384 b=8.384 c=4.339 alpha=90.00 beta=90.00 gamma=90.00
Sites, in units of the cell vectors:
Sr 0.190 0.310 0.000
Sr 0.310 0.810 0.000
Sr 0.690 0.190 0.000
Sr 0.810 0.690 0.000
Cu 0.000 0.000 0.000
Cu 0.500 0.500 0.000
Si 0.094 0.594 0.500
Si 0.406 0.094 0.500
Si 0.594 0.906 0.500
Si 0.906 0.406 0.500

Computed properties:
- crystal system = tetragonal

***

Version two
# Sr2CuSi2

An optimized crystal structure of Sr2CuSi2 (GGA-PBE, Alexandria).

Unit cell a=9.735 b=9.735 c=9.735 alpha=158.29 beta=158.29 gamma=30.89
Sites, in units of the cell vectors:
Sr 0.105 0.105 0.000
Sr 0.895 0.895 0.000
Cu 0.500 0.500 0.000
Si 0.250 0.750 0.500
Si 0.750 0.250 0.500

Computed properties:
- crystal system = tetragonal

***

Which of them is the most stable? Correct choice: version two.

***

Version one
# SrZnCuSi2

An optimized crystal structure of SrZnCuSi2 (GGA-PBE, Alexandria).

Unit cell a=5.696 b=5.696 c=5.334 alpha=90.00 beta=90.00 gamma=90.00
Sites, in units of the cell vectors:
Sr 0.000 0.000 0.000
Zn 0.500 0.500 0.500
Cu 0.000 0.000 0.500
Si 0.000 0.500 0.000
Si 0.500 0.000 0.000

Computed properties:
- crystal system = tetragonal

***

Version two
# SrZnCuSi2

An optimized crystal structure of SrZnCuSi2 (GGA-PBE, Alexandria).

Unit cell a=5.937 b=5.937 c=5.937 alpha=138.28 beta=138.28 gamma=60.48
Sites, in units of the cell vectors:
Sr 0.000 0.000 0.000
Zn 0.750 0.250 0.500
Cu 0.250 0.750 0.500
Si 0.382 0.382 0.000
Si 0.618 0.618 0.000

Computed properties:
- crystal system = tetragonal

***

Which of them is the most stable? Correct choice: version two.

***

Version one
# CuSi2Tc

An optimized crystal structure of CuSi2Tc (GGA-PBE, Alexandria).

Unit cell a=4.201 b=4.201 c=4.201 alpha=60.00 beta=60.00 gamma=60.00
Sites, in units of the cell vectors:
Cu 0.000 0.000 0.000
Si 0.250 0.250 0.250
Si 0.750 0.750 0.750
Tc 0.500 0.500 0.500

Computed properties:
- crystal system = cubic

***

Version two
# CuSi2Tc

An optimized crystal structure of CuSi2Tc (GGA-PBE, Alexandria).

Unit cell a=4.553 b=4.553 c=4.133 alpha=105.64 beta=105.64 gamma=39.72
Sites, in units of the cell vectors:
Cu 0.000 0.000 0.000
Si 0.498 0.498 0.511
Si 0.746 0.746 0.141
Tc 0.229 0.229 0.619

Computed properties:
- crystal system = monoclinic

***

Version three
# CuSi2Tc

An optimized crystal structure of CuSi2Tc (GGA-PBE, Alexandria).

Unit cell a=4.871 b=4.871 c=2.895 alpha=105.98 beta=105.98 gamma=111.93
Sites, in units of the cell vectors:
Cu 0.000 0.000 0.000
Si 0.000 0.500 0.000
Si 0.500 0.000 0.000
Tc 0.500 0.500 0.000

Computed properties:
- crystal system = monoclinic

***

Which of them is the most stable? Correct choice: version two.

***

Version one
# CuSi2Tc

An optimized crystal structure of CuSi2Tc (GGA-PBE, Alexandria).

Unit cell a=4.307 b=4.307 c=4.581 alpha=100.94 beta=100.94 gamma=40.43
Sites, in units of the cell vectors:
Cu 0.000 0.000 0.000
Si 0.243 0.243 0.727
Si 0.757 0.757 0.273
Tc 0.500 0.500 0.500

Computed properties:
- crystal system = monoclinic

***

Version two
# CuSi2Tc

An optimized crystal structure of CuSi2Tc (GGA-PBE, Alexandria).

Unit cell a=4.093 b=4.093 c=3.078 alpha=90.00 beta=90.00 gamma=90.00
Sites, in units of the cell vectors:
Cu 0.000 0.000 0.000
Si 0.000 0.500 0.500
Si 0.500 0.000 0.500
Tc 0.500 0.500 0.000

Computed properties:
- crystal system = tetragonal

***

Version three
# CuSi2Tc

An optimized crystal structure of CuSi2Tc (GGA-PBE, Alexandria).

Unit cell a=7.976 b=7.976 c=7.976 alpha=20.43 beta=20.43 gamma=20.43
Sites, in units of the cell vectors:
Cu 0.000 0.000 0.000
Si 0.250 0.250 0.250
Si 0.750 0.750 0.750
Tc 0.500 0.500 0.500

Computed properties:
- crystal system = trigonal

***

Version four
# CuSi2Tc

An optimized crystal structure of CuSi2Tc (GGA-PBE, Alexandria).

Unit cell a=4.824 b=4.824 c=4.824 alpha=141.02 beta=132.18 gamma=63.33
Sites, in units of the cell vectors:
Cu 0.000 0.000 0.000
Si 0.514 0.514 0.000
Si 0.767 0.267 0.500
Tc 0.269 0.769 0.500

Computed properties:
- crystal system = orthorhombic

***

Which of them is the most stable? Correct choice: version four.

***

Version one
# CuSi2Tc

An optimized crystal structure of CuSi2Tc (GGA-PBE, Alexandria).

Unit cell a=2.812 b=3.781 c=5.070 alpha=90.00 beta=90.00 gamma=90.00
Sites, in units of the cell vectors:
Cu 0.000 0.000 0.000
Si 0.000 0.500 0.266
Si 0.000 0.500 0.734
Tc 0.500 0.000 0.500

Computed properties:
- crystal system = orthorhombic

***

Version two
# CuSi2Tc

An optimized crystal structure of CuSi2Tc (GGA-PBE, Alexandria).

Unit cell a=2.803 b=2.803 c=7.961 alpha=90.00 beta=90.00 gamma=116.56
Sites, in units of the cell vectors:
Cu 0.000 0.000 0.000
Si 0.500 0.500 0.255
Si 0.500 0.500 0.745
Tc 0.000 0.000 0.500

Computed properties:
- crystal system = orthorhombic

***

Version three
# CuSi2Tc

An optimized crystal structure of CuSi2Tc (GGA-PBE, Alexandria).

Unit cell a=3.247 b=3.247 c=4.996 alpha=90.00 beta=90.00 gamma=90.00
Sites, in units of the cell vectors:
Cu 0.000 0.000 0.000
Si 0.000 0.000 0.481
Si 0.500 0.500 0.187
Tc 0.500 0.500 0.680

Computed properties:
- crystal system = tetragonal

***

Which of them is the most stable? Correct choice: version three.

***

Version one
# CuSi2Tc

An optimized crystal structure of CuSi2Tc (GGA-PBE, Alexandria).

Unit cell a=2.692 b=2.692 c=7.514 alpha=90.00 beta=90.00 gamma=90.00
Sites, in units of the cell vectors:
Cu 0.000 0.000 0.000
Si 0.000 0.000 0.504
Si 0.500 0.500 0.230
Tc 0.500 0.500 0.740

Computed properties:
- crystal system = tetragonal

***

Version two
# CuSi2Tc

An optimized crystal structure of CuSi2Tc (GGA-PBE, Alexandria).

Unit cell a=3.096 b=3.096 c=5.372 alpha=90.00 beta=90.00 gamma=90.00
Sites, in units of the cell vectors:
Cu 0.000 0.000 0.000
Si 0.500 0.500 0.245
Si 0.500 0.500 0.755
Tc 0.000 0.000 0.500

Computed properties:
- crystal system = tetragonal

***

Version three
# CuSi2Tc

An optimized crystal structure of CuSi2Tc (GGA-PBE, Alexandria).

Unit cell a=4.531 b=4.531 c=4.531 alpha=134.92 beta=126.40 gamma=72.57
Sites, in units of the cell vectors:
Cu 0.000 0.000 0.000
Si 0.239 0.739 0.500
Si 0.761 0.261 0.500
Tc 0.500 0.500 0.000

Computed properties:
- crystal system = orthorhombic

***

Version four
# CuSi2Tc

An optimized crystal structure of CuSi2Tc (GGA-PBE, Alexandria).

Unit cell a=7.831 b=7.831 c=7.831 alpha=21.24 beta=21.24 gamma=21.24
Sites, in units of the cell vectors:
Cu 0.000 0.000 0.000
Si 0.495 0.495 0.495
Si 0.743 0.743 0.743
Tc 0.240 0.240 0.240

Computed properties:
- crystal system = trigonal

***

Which of them is the most stable? Correct choice: version two.

***

Version one
# CuSi2Tc

An optimized crystal structure of CuSi2Tc (GGA-PBE, Alexandria).

Unit cell a=2.847 b=4.445 c=4.184 alpha=90.00 beta=90.00 gamma=90.00
Sites, in units of the cell vectors:
Cu 0.000 0.000 0.000
Si 0.000 0.500 0.726
Si 0.500 0.000 0.508
Tc 0.500 0.500 0.231

Computed properties:
- crystal system = orthorhombic

***

Version two
# CuSi2Tc

An optimized crystal structure of CuSi2Tc (GGA-PBE, Alexandria).

Unit cell a=5.366 b=5.366 c=5.366 alpha=104.45 beta=104.45 gamma=120.06
Sites, in units of the cell vectors:
Cu 0.000 0.000 0.000
Cu 0.750 0.250 0.500
Si 0.113 0.625 0.988
Si 0.375 0.363 0.488
Si 0.637 0.125 0.012
Si 0.875 0.887 0.512
Tc 0.250 0.750 0.500
Tc 0.500 0.500 0.000

Computed properties:
- crystal system = tetragonal

***

Which of them is the most stable? Correct choice: version one.